(1)
Computed, not measured: SmB3 after structural relaxation at the GGA-PBE level of DFT.

Properties
Theoretical density, g cm⁻³: 5.176
Total energy, eV per cell: -45.4
Total magnetic moment, μB/cell: 0.00
DFT formation energy, kcal/mol of atoms: 11.924

Cell: 3.7392 3.7392 8.3892 Å, 90.00 90.00 90.00°
Space group I4/mmm (No. 139)
Asymmetric unit:
Sm 0.0000 0.0000 0.0000 x2
B 0.0000 0.0000 0.3130 x4
B 0.0000 0.0000 0.5000 x2

---

(2)
Computed, not measured: AgSb2Se2 after structural relaxation at the GGA-PBE level of DFT.

Properties
Energy above the most stable polymorph in this dataset, eV/atom: 0.142
Theoretical density, g cm⁻³: 6.730
Total energy, eV per cell: -34.2
Total magnetic moment, μB/cell: 0.00
Energy relative to the elements, uncorrected, eV per formula unit: 1.0

Cell: 8.0932 8.0932 3.8369 Å, 90.00 90.00 90.00°
Space group P4/mbm (No. 127)
Asymmetric unit:
Ag 0.0000 0.0000 0.0000 x2
Sb 0.1748 0.3252 0.5000 x4
Se 0.1521 0.6521 0.0000 x4

---

(3)
Computed, not measured: ScAlTc2 after structural relaxation at the GGA-PBE level of DFT.

Properties
Energy above the most stable polymorph in this dataset, eV/atom: 0.660
Theoretical density, g cm⁻³: 6.549
Total energy, eV per cell: -117.6
Total magnetic moment, μB/cell: 0.01
DFT formation energy, kcal/mol of atoms: 8.143

Cell: 7.0703 7.0703 5.4363 Å, 90.00 90.00 90.00°
Space group I-42d (No. 122)
Asymmetric unit:
Sc 0.0000 0.0000 0.0000 x4
Al 0.0000 0.0000 0.5000 x4
Tc 0.2233 0.2500 0.6250 x8

---

(4)
Computed, not measured: Nd2TmGa3 after structural relaxation at the GGA-PBE level of DFT.

Properties
Energy above the most stable polymorph in this dataset, eV/atom: 0.000
Theoretical density, g cm⁻³: 7.642
Total energy, eV per cell: -52.8
Total magnetic moment, μB/cell: 0.00
DFT formation energy, kcal/mol of atoms: -12.747

Cell: 5.1389 5.1389 12.6671 Å, 90.00 90.00 120.00°
Space group P-3m1 (No. 164)
Asymmetric unit:
Nd 0.0000 0.0000 0.0000 x1
Nd 0.0000 0.0000 0.5000 x1
Nd 0.3333 0.6667 0.1725 x2
Tm 0.3333 0.6667 0.6662 x2
Ga 0.0000 0.0000 0.2543 x2
Ga 0.3333 0.6667 0.4194 x2
Ga 0.3333 0.6667 0.9141 x2

---

(5)
Computed, not measured: TbTmBeCu after structural relaxation at the GGA-PBE level of DFT.

Properties
Theoretical density, g cm⁻³: 8.265
Total energy, eV per cell: -68.9
Total magnetic moment, μB/cell: 0.00
DFT formation energy, kcal/mol of atoms: -1.745

Cell: 6.8526 6.8526 6.8526 Å, 90.00 90.00 90.00°
Space group F-43m (No. 216)
Asymmetric unit:
Tb 0.0000 0.0000 0.0000 x4
Tm 0.0000 0.0000 0.5000 x4
Be 0.2500 0.2500 0.7500 x4
Cu 0.2500 0.2500 0.2500 x4

---

(6)
Computed, not measured: GaSnPd after structural relaxation at the GGA-PBE level of DFT.

Properties
Theoretical density, g cm⁻³: 8.288
Total energy, eV per cell: -53.0
Total magnetic moment, μB/cell: 0.00
DFT formation energy, kcal/mol of atoms: -7.957

Cell: 8.5015 4.0524 7.0612 Å, 90.00 103.74 90.00°
Space group C2/m (No. 12)
Asymmetric unit:
Ga 0.1198 0.0000 0.4169 x4
Sn 0.1756 0.5000 0.1291 x4
Pd 0.1054 0.5000 0.6960 x4

---

(7)
Computed, not measured: Ir4SeBr after structural relaxation at the GGA-PBE level of DFT.

Properties
Theoretical density, g cm⁻³: 14.468
Total energy, eV per cell: -133.4
Total magnetic moment, μB/cell: 7.85
Energy relative to the elements, uncorrected, eV per formula unit: 7.2

Cell: 7.5239 7.5239 7.5239 Å, 90.00 90.00 90.00°
Space group F-43m (No. 216)
Asymmetric unit:
Ir 0.1243 0.1243 0.1243 x16
Se 0.2500 0.2500 0.7500 x4
Br 0.0000 0.0000 0.5000 x4

---

(8)
Computed, not measured: NaB4 after structural relaxation at the GGA-PBE level of DFT.

Properties
Energy above the most stable polymorph in this dataset, eV/atom: 0.000
Theoretical density, g cm⁻³: 2.258
Total energy, eV per cell: -47.5
Total magnetic moment, μB/cell: 0.00
DFT formation energy, kcal/mol of atoms: 19.799

Cell: 4.3761 4.3761 5.0869 Å, 90.00 90.00 90.00°
Space group I4/mmm (No. 139)
Asymmetric unit:
Na 0.0000 0.0000 0.0000 x2
B 0.0000 0.2906 0.5000 x8

---

(9)
Computed, not measured: Sr2YZr after structural relaxation at the GGA-PBE level of DFT.

Properties
Energy above the most stable polymorph in this dataset, eV/atom: 0.000
Theoretical density, g cm⁻³: 3.973
Total energy, eV per cell: -17.4
Total magnetic moment, μB/cell: 0.00
DFT formation energy, kcal/mol of atoms: 5.825

Cell: 3.6498 3.6498 11.1493 Å, 90.00 90.00 90.00°
Space group P4mm (No. 99)
Asymmetric unit:
Sr 0.0000 0.0000 0.0000 x1
Sr 0.5000 0.5000 0.3075 x1
Y 0.0000 0.0000 0.5810 x1
Zr 0.5000 0.5000 0.7620 x1

---

(10)
Computed, not measured: FeCuBr after structural relaxation at the GGA-PBE level of DFT.

Properties
Energy above the most stable polymorph in this dataset, eV/atom: 0.000
Theoretical density, g cm⁻³: 5.467
Total energy, eV per cell: -52.8
Total magnetic moment, μB/cell: 12.23
Energy relative to the elements, uncorrected, eV per formula unit: 1.0

Cell: 10.5864 3.6322 6.2968 Å, 90.00 90.00 90.00°
Space group Amm2 (No. 38)
Asymmetric unit:
Fe 0.1159 0.0000 0.0000 x4
Cu 0.0000 0.0000 0.6669 x2
Cu 0.5000 0.0000 0.6659 x2
Br 0.2824 0.0000 0.6665 x4

---

(11)
Computed, not measured: CdSb2TeW after structural relaxation at the GGA-PBE level of DFT.

Properties
Energy above the most stable polymorph in this dataset, eV/atom: 1.125
Theoretical density, g cm⁻³: 6.969
Total energy, eV per cell: -16.7
Total magnetic moment, μB/cell: 3.21
Energy relative to the elements, uncorrected, eV per formula unit: 8.5

Cell: 5.3680 5.3680 5.5187 Å, 90.00 90.00 90.00°
Space group P4/mmm (No. 123)
Asymmetric unit:
Cd 0.0000 0.0000 0.0000 x1
Sb 0.0000 0.5000 0.0000 x2
Te 0.0000 0.0000 0.5000 x1
W 0.5000 0.5000 0.5000 x1

---

(12)
Computed, not measured: TaMo3 after structural relaxation at the GGA-PBE level of DFT.

Properties
Theoretical density, g cm⁻³: 11.883
Total energy, eV per cell: -89.8
Total magnetic moment, μB/cell: 0.00
DFT formation energy, kcal/mol of atoms: -3.136

Cell: 3.1946 3.1946 12.8376 Å, 90.00 90.00 90.00°
Space group P4/mmm (No. 123)
Asymmetric unit:
Ta 0.0000 0.0000 0.1261 x2
Mo 0.0000 0.0000 0.3767 x2
Mo 0.5000 0.5000 0.0000 x1
Mo 0.5000 0.5000 0.2561 x2
Mo 0.5000 0.5000 0.5000 x1